## A
## CaZnMo (PBE-GGA)

Data for crystalline CaZnMo at its relaxed geometry.

Properties
The total magnetization comes out at 0.00 μB per cell. As for the density: 5.76 g/cm3. As for the density of states at the Fermi level: 3.20 states/eV/f.u.

a = 4.893 Å, b = 4.893 Å, c = 2.800 Å
α = 90.00°, β = 90.00°, γ = 120.00°
Element x y z (fractional)
Mo 0.333 0.667 0.501
Ca 0.000 0.000 0.000
Zn 0.667 0.333 0.499

***

## B
## CaZnMo (PBE-GGA)

Data for crystalline CaZnMo at its relaxed geometry.

Properties
The total magnetization comes out at 2.87 μB per cell. As for the density: 4.71 g/cm3. As for the density of states at the Fermi level: 2.81 states/eV/f.u.

a = 4.649 Å, b = 4.649 Å, c = 4.649 Å
α = 60.00°, β = 60.00°, γ = 60.00°
Each line ends with the local moment (μB).
Element x y z (fractional)
Mo 0.500 0.500 0.500  2.37
Ca 0.000 0.000 0.000  0.04
Zn 0.750 0.750 0.750  -0.01

***

## C
## CaZnMo (PBE-GGA)

Data for crystalline CaZnMo at its relaxed geometry.

Properties
The total magnetization comes out at 1.18 μB per cell. As for the density: 5.40 g/cm3. As for the density of states at the Fermi level: 3.01 states/eV/f.u.

a = 6.027 Å, b = 6.027 Å, c = 6.027 Å
α = 147.80°, β = 147.80°, γ = 46.18°
Each line ends with the local moment (μB).
Element x y z (fractional)
Mo 0.303 0.303 0.000  0.92
Ca 0.999 0.999 0.000  0.02
Zn 0.698 0.698 0.000  0.04

***

The most stable arrangement is C, and the next structure is 6.8 kJ/mol of atoms less stable.

***

## A
## CaZnMo (PBE-GGA)

Data for crystalline CaZnMo at its relaxed geometry.

Properties
The total magnetization comes out at 3.36 μB per cell. As for the density: 4.32 g/cm3. As for the density of states at the Fermi level: 3.45 states/eV/f.u.

a = 4.783 Å, b = 4.783 Å, c = 4.783 Å
α = 60.00°, β = 60.00°, γ = 60.00°
Each line ends with the local moment (μB).
Element x y z (fractional)
Mo 0.000 0.000 0.000  2.81
Ca 0.750 0.750 0.750  0.11
Zn 0.500 0.500 0.500  -0.06

***

## B
## CaZnMo (PBE-GGA)

Data for crystalline CaZnMo at its relaxed geometry.

Properties
The total magnetization comes out at 0.00 μB per cell. As for the density: 5.95 g/cm3. As for the density of states at the Fermi level: 1.75 states/eV/f.u.

a = 7.343 Å, b = 7.329 Å, c = 2.824 Å
α = 79.18°, β = 78.63°, γ = 22.19°
Element x y z (fractional)
Mo 0.320 0.320 0.680
Ca 0.003 0.003 0.997
Zn 0.677 0.677 0.323

***

The most stable arrangement is B, and the next structure is 97.7 kJ/mol of atoms less stable.

***

## A
## Ca3ZnMo (PBE-GGA)

Data for crystalline Ca3ZnMo at its relaxed geometry.

Properties
The total magnetization comes out at 0.00 μB per cell. As for the density: 2.83 g/cm3. As for the density of states at the Fermi level: 3.97 states/eV/f.u.

a = 5.487 Å, b = 5.487 Å, c = 5.487 Å
α = 90.00°, β = 90.00°, γ = 90.00°
Element x y z (fractional)
Mo 0.000 0.000 0.000
Ca 0.000 0.500 0.000
Ca 0.000 0.000 0.500
Ca 0.500 0.000 0.000
Zn 0.500 0.500 0.500

***

## B
## Ca3ZnMo (PBE-GGA)

Data for crystalline Ca3ZnMo at its relaxed geometry.

Properties
The total magnetization comes out at 4.07 μB per cell. As for the density: 2.67 g/cm3. As for the density of states at the Fermi level: 3.82 states/eV/f.u.

a = 5.597 Å, b = 5.597 Å, c = 5.597 Å
α = 90.00°, β = 90.00°, γ = 90.00°
Each line ends with the local moment (μB).
Element x y z (fractional)
Mo 0.500 0.500 0.500  3.56
Ca 0.000 0.500 0.000  -0.03
Ca 0.000 0.000 0.500  -0.01
Ca 0.500 0.000 0.000  -0.05
Zn 0.000 0.000 0.000  -0.08

***

The most stable arrangement is B, and the next structure is 1.5 kJ/mol of atoms less stable.

***

## A
## Ca2ZrMo (PBE-GGA)

Data for crystalline Ca2ZrMo at its relaxed geometry.

Properties
The total magnetization comes out at 0.93 μB per cell. As for the density: 4.26 g/cm3. As for the density of states at the Fermi level: 8.19 states/eV/f.u.

a = 5.281 Å, b = 5.281 Å, c = 5.281 Å
α = 60.00°, β = 60.00°, γ = 60.00°
Each line ends with the local moment (μB).
Element x y z (fractional)
Mo 0.500 0.500 0.500  2.17
Ca 0.250 0.250 0.250  -0.03
Ca 0.750 0.750 0.750  -0.03
Zr 0.000 0.000 0.000  -0.96

***

## B
## Ca2ZrMo (PBE-GGA)

Data for crystalline Ca2ZrMo at its relaxed geometry.

Properties
The total magnetization comes out at 0.00 μB per cell. As for the density: 4.62 g/cm3. As for the density of states at the Fermi level: 5.10 states/eV/f.u.

a = 3.039 Å, b = 5.294 Å, c = 5.966 Å
α = 90.00°, β = 90.00°, γ = 90.00°
Element x y z (fractional)
Mo 0.500 0.500 0.250
Ca 0.000 0.000 0.010
Ca 0.000 0.000 0.490
Zr 0.500 0.500 0.750

***

The most stable arrangement is B, and the next structure is 21.8 kJ/mol of atoms less stable.